No. 1
# Ce2Pr3PaP6

A relaxed Ce2Pr3PaP6 crystal (PBE, the Alexandria database).

extended XYZ file:
```
12
Lattice="3.5686 -6.1784 0.0000 3.5686 6.1784 0.0000 -2.3786 0.0000 6.7372" Properties=species:S:1:pos:R:3 pbc="T T T"
Ce 3.5686 4.1234 0.0000
Ce 3.5686 -4.1234 0.0000
Pr -1.1893 0.0000 3.3686
Pr 2.3793 2.0807 3.3686
Pr 2.3793 -2.0807 3.3686
Pa 3.5686 0.0000 0.0000
P 0.0296 2.0103 5.1490
P 1.2492 0.0000 1.5915
P 0.0296 -2.0103 5.1490
P 4.7290 2.0103 1.5882
P 3.5094 0.0000 5.1457
P 4.7290 -2.0103 1.5882
```

Spin magnetization = 1.16 μB per cell
Formation energy = -1.490 eV/atom

***

No. 2
# Pr8Pt3Br4N

A relaxed Pr8Pt3Br4N crystal (PBE, the Alexandria database).

extended XYZ file:
```
16
Lattice="4.1407 2.3906 7.7457 -4.1407 2.3906 7.7457 0.0000 -4.7813 7.7457" Properties=species:S:1:pos:R:3 pbc="T T T"
Pr 0.0000 0.0000 5.4140
Pr -1.8822 -1.0867 13.1170
Pr 0.0000 -2.1733 10.1200
Pr -1.8822 1.0867 10.1200
Pr 1.8822 -1.0867 13.1170
Pr 0.0000 2.1733 13.1170
Pr 1.8822 1.0867 10.1200
Pr 0.0000 0.0000 17.8231
Pt -4.1407 0.0000 11.6185
Pt -2.0703 1.1953 3.8728
Pt 2.0704 1.1953 3.8728
Br 0.0000 0.0000 0.0000
Br -2.0704 -1.1953 7.7457
Br -2.0703 1.1953 15.4914
Br 0.0000 2.3906 7.7457
N 0.0000 0.0000 11.6185
```

Spin magnetization = 1.23 μB per cell
Uncorrected formation energy = -1.195 eV/atom

***

No. 3
# NiHgTe2

A relaxed NiHgTe2 crystal (PBE, the Alexandria database).

extended XYZ file:
```
4
Lattice="1.6221 0.9365 12.0412 -1.6221 0.9365 12.0412 0.0000 -1.8730 12.0412" Properties=species:S:1:pos:R:3 pbc="T T T"
Ni 0.0000 0.0000 0.0000
Hg 0.0000 0.0000 18.0617
Te 0.0000 0.0000 2.4327
Te 0.0000 0.0000 33.6907
```

Spin magnetization = 0.01 μB per cell
Uncorrected formation energy = 0.285 eV/atom

***

No. 4
# LiGdThMo

A relaxed LiGdThMo crystal (PBE, the Alexandria database).

extended XYZ file:
```
4
Lattice="0.0000 3.5798 3.5798 3.5798 0.0000 3.5798 3.5798 3.5798 0.0000" Properties=species:S:1:pos:R:3 pbc="T T T"
Li 0.0000 0.0000 0.0000
Gd 5.3698 5.3698 5.3698
Th 1.7899 1.7899 1.7899
Mo 3.5798 3.5798 3.5798
```

Spin magnetization = 7.09 μB per cell
Formation energy = 0.163 eV/atom

***

No. 5
# CeSm3H

A relaxed CeSm3H crystal (PBE, the Alexandria database).

extended XYZ file:
```
5
Lattice="5.0690 0.0000 0.0000 0.0000 5.0690 0.0000 0.0000 0.0000 5.0690" Properties=species:S:1:pos:R:3 pbc="T T T"
Ce 0.0000 0.0000 0.0000
Sm 0.0000 2.5345 2.5345
Sm 2.5345 0.0000 2.5345
Sm 2.5345 2.5345 0.0000
H 2.5345 2.5345 2.5345
```

Spin magnetization = 0.73 μB per cell
E = -4.81 eV per atom

***

No. 6
# Cs3CdAs

A relaxed Cs3CdAs crystal (PBE, the Alexandria database).

extended XYZ file:
```
5
Lattice="6.8298 0.0000 0.0000 0.0000 6.8298 0.0000 0.0000 0.0000 6.8298" Properties=species:S:1:pos:R:3 pbc="T T T"
Cs 0.0000 0.0000 3.4149
Cs 0.0000 3.4149 0.0000
Cs 3.4149 0.0000 0.0000
Cd 0.0000 0.0000 0.0000
As 3.4149 3.4149 3.4149
```

Spin magnetization = 0.33 μB per cell
ΔE to the lowest computed polymorph = 2.96 eV/f.u.
Formation energy = 0.319 eV/atom

***

What is the spin magnetization in the fifth record?
0.73 μB per cell

***

The highest spin magnetization belongs to which entry?
LiGdThMo

***

What is the formula in the second record?
Pr8Pt3Br4N

***

Which formula does entry 4 have?
LiGdThMo